No. 1
This record from the Alexandria database describes KGa2Re after structural relaxation. The functional is PBE.

a = 6.2667 Å, b = 6.2667 Å, c = 14.5279 Å
α = 90.00°, β = 90.00°, γ = 90.00°
Closest atoms and distances in Å follow each position.
Space group I4_1/amd (No. 141, origin choice 2)
Symmetry-distinct sites (fractional):
K 0.0000 0.2500 0.3750 (multiplicity 4)  8 Ga 3.95
Ga 0.0000 0.0000 0.0000 (multiplicity 8)  2 Re 2.40
Re 0.0000 0.2500 0.8750 (multiplicity 4)  4 Ga 2.40



No. 2
This record from the Alexandria database describes KGa2Re after structural relaxation. The functional is PBE.

a = 6.7276 Å, b = 6.7276 Å, c = 6.7276 Å
α = 90.00°, β = 90.00°, γ = 90.00°
Closest atoms and distances in Å follow each position.
Space group Fm-3m (No. 225)
Symmetry-distinct sites (fractional):
K 0.0000 0.0000 0.0000 (multiplicity 4)  8 Ga 2.91
Ga 0.2500 0.2500 0.2500 (multiplicity 8)  4 Re 2.91, 4 K 2.91
Re 0.0000 0.0000 0.5000 (multiplicity 4)  8 Ga 2.91



No. 3
This record from the Alexandria database describes KGa3Re after structural relaxation. The functional is PBE.

a = 4.9304 Å, b = 4.9304 Å, c = 4.9304 Å
α = 90.00°, β = 90.00°, γ = 90.00°
Closest atoms and distances in Å follow each position.
Space group Pm-3m (No. 221)
Symmetry-distinct sites (fractional):
K 0.0000 0.0000 0.0000 (multiplicity 1)  12 Ga 3.49
Ga 0.0000 0.5000 0.5000 (multiplicity 3)  2 Re 2.47
Re 0.5000 0.5000 0.5000 (multiplicity 1)  6 Ga 2.47



No. 4
This record from the Alexandria database describes KGa3Re after structural relaxation. The functional is PBE.

a = 5.3791 Å, b = 5.3791 Å, c = 5.3791 Å
α = 90.00°, β = 90.00°, γ = 90.00°
Closest atoms and distances in Å follow each position.
Space group Pm-3m (No. 221)
Symmetry-distinct sites (fractional):
K 0.0000 0.0000 0.0000 (multiplicity 1)  6 Ga 2.69
Ga 0.0000 0.0000 0.5000 (multiplicity 3)  2 K 2.69
Re 0.5000 0.5000 0.5000 (multiplicity 1)  12 Ga 3.80



no.,E_form (eV per atom),M_tot (μB/cell)
1,0.64,0.0
2,0.88,0.0
3,-0.08,0.0
4,2.15,3.1